DFT (GGA-PBE) results for a geometry-optimized PtSeN2F structure.

Unit cell a=3.9864 b=3.9864 c=3.8537 alpha=90.00 beta=90.00 gamma=90.00
Closest atoms and distances in Å follow each position.
Positions (direct):
Pt 0.0000 0.0000 0.0000  8 N 2.77, 4 F 2.82
Se 0.5000 0.5000 0.5000  2 F 1.93, 4 N 1.99
N 0.0000 0.5000 0.5000  2 Se 1.99
N 0.5000 0.0000 0.5000  2 Se 1.99
F 0.5000 0.5000 0.0000  2 Se 1.93

Computed properties:
energy above the lowest structure with this stoichiometry = 381 meV/atom
total DFT energy (no corrections) = -20.714 eV/cell
mass density = 8.7 g/cm3



DFT (GGA-PBE) results for a geometry-optimized TiMn3Si structure.

Unit cell a=4.2682 b=4.2682 c=4.2682 alpha=90.00 beta=90.00 gamma=90.00
Closest atoms and distances in Å follow each position.
Positions (direct):
Ti 0.0000 0.0000 0.0000  12 Mn 3.02
Mn 0.0000 0.5000 0.5000  2 Si 2.13
Mn 0.5000 0.0000 0.5000  2 Si 2.13
Mn 0.5000 0.5000 0.0000  2 Si 2.13
Si 0.5000 0.5000 0.5000  6 Mn 2.13

Computed properties:
energy above the lowest structure with this stoichiometry = 0 meV/atom
total DFT energy (no corrections) = -38.452 eV/cell
mass density = 5.1 g/cm3



DFT (GGA-PBE) results for a geometry-optimized Sc2CrPt structure.

Unit cell a=9.7247 b=9.7247 c=9.7247 alpha=155.49 beta=155.49 gamma=34.94
Closest atoms and distances in Å follow each position.
Positions (direct):
Sc 0.1196 0.6250 0.9946  2 Pt 2.73, 2 Cr 2.75, 4 Sc 2.89-2.95
Sc 0.3750 0.3696 0.4946  2 Pt 2.73, 2 Cr 2.75, 4 Sc 2.89-2.95
Sc 0.6304 0.1250 0.0054  2 Pt 2.73, 2 Cr 2.75, 4 Sc 2.89-2.95
Sc 0.8750 0.8804 0.5054  2 Pt 2.73, 2 Cr 2.75, 4 Sc 2.89-2.95
Cr 0.2500 0.7500 0.5000  4 Sc 2.75, 4 Pt 2.92
Cr 0.5000 0.5000 0.0000  4 Sc 2.75, 4 Pt 2.92
Pt 0.0000 0.0000 0.0000  4 Sc 2.73, 4 Cr 2.92
Pt 0.7500 0.2500 0.5000  4 Sc 2.73, 4 Cr 2.92

Computed properties:
total DFT energy (no corrections) = -55.840 eV/cell
mass density = 7.1 g/cm3
energy relative to the elements = 0.10 eV per atom



DFT (GGA-PBE) results for a geometry-optimized AlRh structure.

Unit cell a=5.4218 b=5.4218 c=3.9508 alpha=90.00 beta=90.00 gamma=120.00
Closest atoms and distances in Å follow each position.
Positions (direct):
Al 0.0000 0.0000 0.0000  6 Rh 2.59-2.84
Al 0.3333 0.6667 0.5000  6 Rh 2.52
Al 0.6667 0.3333 0.5000  6 Rh 2.52
Rh 0.0000 0.5232 0.0000  5 Al 2.52-2.59, 4 Rh 2.72
Rh 0.4768 0.4768 0.0000  5 Al 2.52-2.59, 4 Rh 2.72
Rh 0.5232 0.0000 0.0000  5 Al 2.52-2.59, 4 Rh 2.72

Computed properties:
total DFT energy (no corrections) = -37.055 eV/cell
mass density = 6.4 g/cm3
energy relative to the elements = -0.63 eV per atom



DFT (GGA-PBE) results for a geometry-optimized Ac2SnSb2Au4 structure.

Unit cell a=7.0631 b=7.0631 c=7.0631 alpha=122.19 beta=122.19 gamma=86.25
Closest atoms and distances in Å follow each position.
Positions (direct):
Ac 0.2500 0.7500 0.5000  4 Sb 3.46, 8 Au 3.54
Ac 0.7500 0.2500 0.5000  4 Sb 3.46, 8 Au 3.54
Sn 0.0000 0.0000 0.0000  4 Au 2.71
Sb 0.3024 0.3024 0.0000  4 Au 2.94, 1 Sn 3.12
Sb 0.6976 0.6976 0.0000  4 Au 2.94, 1 Sn 3.12
Au 0.2802 0.2802 0.5603  1 Sn 2.71, 2 Sb 2.94, 2 Au 3.00
Au 0.2802 0.7198 0.0000  1 Sn 2.71, 2 Sb 2.94, 2 Au 3.00
Au 0.7198 0.2802 0.0000  1 Sn 2.71, 2 Sb 2.94, 2 Au 3.00
Au 0.7198 0.7198 0.4397  1 Sn 2.71, 2 Sb 2.94, 2 Au 3.00

Computed properties:
total DFT energy (no corrections) = -38.774 eV/cell
mass density = 11.1 g/cm3



DFT (GGA-PBE) results for a geometry-optimized SrLiAg2Ir structure.

Unit cell a=4.6576 b=4.6576 c=4.6242 alpha=90.00 beta=90.00 gamma=90.00
Closest atoms and distances in Å follow each position.
Positions (direct):
Sr 0.0000 0.0000 0.0000  8 Ag 3.28, 4 Ir 3.29
Li 0.5000 0.5000 0.5000  2 Ir 2.31, 4 Ag 2.33
Ag 0.0000 0.5000 0.5000  2 Li 2.33
Ag 0.5000 0.0000 0.5000  2 Li 2.33
Ir 0.5000 0.5000 0.0000  2 Li 2.31

Computed properties:
total DFT energy (no corrections) = -17.291 eV/cell
mass density = 8.3 g/cm3
energy relative to the elements = 0.17 eV per atom



DFT (GGA-PBE) results for a geometry-optimized Co2SiAsCl structure.

Unit cell a=4.4194 b=4.4194 c=5.1665 alpha=90.00 beta=90.00 gamma=90.00
Closest atoms and distances in Å follow each position.
Positions (direct):
Co 0.0000 0.5000 0.0000  2 As 2.21
Co 0.5000 0.0000 0.0000  2 As 2.21
Si 0.0000 0.0000 0.5000  4 Cl 3.13, 8 Co 3.40
As 0.5000 0.5000 0.0000  4 Co 2.21
Cl 0.5000 0.5000 0.5000  2 As 2.58

Computed properties:
total DFT energy (no corrections) = -21.352 eV/cell
mass density = 4.2 g/cm3



DFT (GGA-PBE) results for a geometry-optimized CdNi structure.

Unit cell a=4.4381 b=4.4381 c=5.1327 alpha=90.00 beta=90.00 gamma=120.00
Closest atoms and distances in Å follow each position.
Positions (direct):
Cd 0.3333 0.6667 0.2500  5 Ni 2.56-2.57
Cd 0.6667 0.3333 0.7500  5 Ni 2.56-2.57
Ni 0.3333 0.6667 0.7500  5 Cd 2.56-2.57
Ni 0.6667 0.3333 0.2500  5 Cd 2.56-2.57

Computed properties:
total DFT energy (no corrections) = -10.617 eV/cell
mass density = 6.5 g/cm3
energy relative to the elements = 0.69 eV per atom



DFT (GGA-PBE) results for a geometry-optimized Li2AlGa structure.

Unit cell a=4.1512 b=2.8137 c=5.4791 alpha=90.00 beta=90.29 gamma=90.00
Closest atoms and distances in Å follow each position.
Positions (direct):
Li 0.9997 0.0000 0.2458  4 Li 2.69-2.81, 4 Ga 2.84-2.85, 4 Al 2.86-2.87
Li 0.0003 0.0000 0.7542  4 Li 2.69-2.81, 4 Ga 2.84-2.85, 4 Al 2.86-2.87
Al 0.5000 0.5000 0.5000  2 Ga 2.74, 2 Al 2.81, 8 Li 2.86-2.87
Ga 0.5000 0.5000 0.0000  2 Al 2.74, 2 Ga 2.81, 8 Li 2.84-2.85

Computed properties:
total DFT energy (no corrections) = -11.388 eV/cell
mass density = 2.9 g/cm3
energy relative to the elements = -0.20 eV per atom



DFT (GGA-PBE) results for a geometry-optimized BaMg2In2Hg2 structure.

Unit cell a=9.7668 b=9.7668 c=9.7668 alpha=29.18 beta=29.18 gamma=29.18
Closest atoms and distances in Å follow each position.
Positions (direct):
Ba 0.0000 0.0000 0.0000  6 In 3.63, 2 Mg 3.92
Mg 0.1397 0.1397 0.1397  3 Hg 3.01, 4 In 3.18-3.29, 3 Mg 3.22
Mg 0.8603 0.8603 0.8603  3 Hg 3.01, 4 In 3.18-3.29, 3 Mg 3.22
In 0.2530 0.2530 0.2530  3 Hg 2.92, 1 Mg 3.18
In 0.7470 0.7470 0.7470  3 Hg 2.92, 1 Mg 3.18
Hg 0.4377 0.4377 0.4377  3 In 2.92, 3 Mg 3.01
Hg 0.5623 0.5623 0.5623  3 In 2.92, 3 Mg 3.01

Computed properties:
total DFT energy (no corrections) = -13.071 eV/cell
mass density = 6.9 g/cm3
energy relative to the elements = -0.27 eV per atom



DFT (GGA-PBE) results for a geometry-optimized Au2Br structure.

Unit cell a=8.3738 b=8.3738 c=3.1819 alpha=90.00 beta=90.00 gamma=120.00
Closest atoms and distances in Å follow each position.
Positions (direct):
Au 0.0000 0.3522 0.0000  2 Br 2.72
Au 0.0000 0.6783 0.5000  1 Br 2.69
Au 0.3217 0.3217 0.5000  1 Br 2.69
Au 0.3522 0.0000 0.0000  2 Br 2.72
Au 0.6478 0.6478 0.0000  2 Br 2.72
Au 0.6783 0.0000 0.5000  1 Br 2.69
Br 0.0000 0.0000 0.5000  3 Au 2.69
Br 0.3333 0.6667 0.0000  3 Au 2.72
Br 0.6667 0.3333 0.0000  3 Au 2.72

Computed properties:
energy above the lowest structure with this stoichiometry = 416 meV/atom
total DFT energy (no corrections) = -20.737 eV/cell
mass density = 12.2 g/cm3



DFT (GGA-PBE) results for a geometry-optimized CoReOs2 structure.

Unit cell a=2.6617 b=2.6617 c=8.9504 alpha=90.00 beta=90.00 gamma=116.62
Closest atoms and distances in Å follow each position.
Positions (direct):
Co 0.0000 0.0000 0.0000  2 Os 2.57, 2 Re 2.57, 6 Co 2.66-2.80
Re 0.5000 0.5000 0.7587  2 Co 2.57, 6 Re 2.66-2.80, 2 Os 2.69
Os 0.0000 0.0000 0.5018  8 Os 2.66-2.80, 2 Re 2.69
Os 0.5000 0.5000 0.2412  2 Co 2.57, 8 Os 2.66-2.80

Computed properties:
energy above the lowest structure with this stoichiometry = 435 meV/atom
total DFT energy (no corrections) = -39.919 eV/cell
mass density = 18.3 g/cm3
energy relative to the elements = 0.52 eV per atom